Version a
## Ga4B2O9 (SCAN)

Data for a PBEsol-optimized structure of Ga4B2O9.

Computed properties:
Its volume is 716.5 Å³ per cell.

```
data_Ga4B2O9
_chemical_formula_sum 'Ga16 B8 O36'
_cell_length_a 15.764
_cell_length_b 5.654
_cell_length_c 11.169
_cell_angle_alpha 90.00
_cell_angle_beta 133.97
_cell_angle_gamma 90.00
_space_group_name_H-M_alt 'C 1 2/m 1'
_space_group_IT_number 12
_space_group_name_Hall '-C 2y'
loop_
_atom_site_label
_atom_site_fract_x
_atom_site_fract_y
_atom_site_fract_z
_atom_site_occupancy
Ga1 0.004 0.000 0.265 1
Ga2 0.132 0.000 0.136 1
Ga3 0.250 0.250 0.000 1
Ga4 0.250 0.250 0.500 1
B1 0.003 0.500 0.703 1
B2 0.210 0.500 0.211 1
O1 0.004 0.000 0.902 1
O2 0.063 0.291 0.371 1
O3 0.124 0.500 0.837 1
O4 0.156 0.000 0.870 1
O5 0.201 0.285 0.140 1
O6 0.210 0.000 0.366 1
O7 0.227 0.500 0.351 1
```

---

Version b
## Ga4B2O9 (SCAN)

Data for a PBEsol-optimized structure of Ga4B2O9.

Computed properties:
Its volume is 683.1 Å³ per cell.

```
data_Ga4B2O9
_chemical_formula_sum 'Ga16 B8 O36'
_cell_length_a 15.183
_cell_length_b 5.753
_cell_length_c 10.863
_cell_angle_alpha 90.00
_cell_angle_beta 133.95
_cell_angle_gamma 90.00
_space_group_name_H-M_alt 'C 1 m 1'
_space_group_IT_number 8
_space_group_name_Hall 'C -2y'
loop_
_atom_site_label
_atom_site_fract_x
_atom_site_fract_y
_atom_site_fract_z
_atom_site_occupancy
Ga1 0.000 0.000 0.000 1
Ga2 0.014 0.000 0.557 1
Ga3 0.195 0.000 0.391 1
Ga4 0.268 0.252 0.724 1
Ga5 0.272 0.251 0.233 1
Ga6 0.366 0.500 0.100 1
B1 0.022 0.500 0.520 1
B2 0.023 0.500 0.958 1
B3 0.286 0.000 0.996 1
B4 0.309 0.500 0.513 1
O1 0.026 0.000 0.199 1
O2 0.088 0.292 0.593 1
O3 0.148 0.500 0.078 1
O4 0.165 0.000 0.133 1
O5 0.227 0.000 0.585 1
O6 0.255 0.288 0.394 1
O7 0.264 0.000 0.850 1
O8 0.266 0.500 0.601 1
O9 0.296 0.207 0.070 1
O10 0.321 0.500 0.883 1
O11 0.387 0.500 0.311 1
O12 0.400 0.000 0.382 1
O13 0.440 0.500 0.631 1
O14 0.456 0.205 0.895 1
```

---

Which structure is the least stable? The one labeled version a.

---

Version a
## SrGaBO4 (SCAN)

Data for a PBEsol-optimized structure of SrGaBO4.

Computed properties:
Its volume is 791.4 Å³ per cell.

```
data_SrGaBO4
_chemical_formula_sum 'Sr8 Ga8 B8 O32'
_cell_length_a 8.913
_cell_length_b 15.298
_cell_length_c 5.804
_cell_angle_alpha 90.00
_cell_angle_beta 90.00
_cell_angle_gamma 90.00
_space_group_name_H-M_alt 'P c c n'
_space_group_IT_number 56
_space_group_name_Hall '-P 2ab 2ac'
loop_
_atom_site_label
_atom_site_fract_x
_atom_site_fract_y
_atom_site_fract_z
_atom_site_occupancy
Sr1 0.117 0.149 0.112 1
Ga1 0.238 0.550 0.128 1
B1 0.019 0.643 0.865 1
O1 0.070 0.618 0.082 1
O2 0.097 0.623 0.665 1
O3 0.112 0.190 0.652 1
O4 0.226 0.021 0.880 1
```

---

Version b
## SrGaBO4 (SCAN)

Data for a PBEsol-optimized structure of SrGaBO4.

Computed properties:
Its volume is 821.6 Å³ per cell.

```
data_SrGaBO4
_chemical_formula_sum 'Sr8 Ga8 B8 O32'
_cell_length_a 9.016
_cell_length_b 15.410
_cell_length_c 5.913
_cell_angle_alpha 90.00
_cell_angle_beta 90.00
_cell_angle_gamma 90.00
_space_group_name_H-M_alt 'P 21 21 2'
_space_group_IT_number 18
_space_group_name_Hall 'P 2 2ab'
loop_
_atom_site_label
_atom_site_fract_x
_atom_site_fract_y
_atom_site_fract_z
_atom_site_occupancy
Sr1 0.073 0.121 0.498 1
Sr2 0.214 0.980 0.002 1
Ga1 0.038 0.653 0.250 1
Ga2 0.039 0.654 0.748 1
B1 0.018 0.187 0.001 1
B2 0.207 0.425 0.500 1
O1 0.009 0.229 0.794 1
O2 0.013 0.231 0.205 1
O3 0.029 0.098 0.004 1
O4 0.124 0.608 0.998 1
O5 0.141 0.405 0.295 1
O6 0.142 0.402 0.704 1
O7 0.156 0.645 0.499 1
O8 0.160 0.968 0.498 1
```

---

Which structure is the least stable? The one labeled version b.

---

Version a
## GaB2Sb2 (SCAN)

Data for a PBEsol-optimized structure of GaB2Sb2.

Computed properties:
Its volume is 180.0 Å³ per cell.

```
data_GaB2Sb2
_chemical_formula_sum 'Ga2 B4 Sb4'
_cell_length_a 7.367
_cell_length_b 7.367
_cell_length_c 3.316
_cell_angle_alpha 90.00
_cell_angle_beta 90.00
_cell_angle_gamma 90.00
_space_group_name_H-M_alt 'P 4/m b m'
_space_group_IT_number 127
_space_group_name_Hall '-P 4 2ab'
loop_
_atom_site_label
_atom_site_fract_x
_atom_site_fract_y
_atom_site_fract_z
_atom_site_occupancy
Ga1 0.000 0.000 0.000 1
B1 0.079 0.421 0.500 1
Sb1 0.172 0.672 0.000 1
```

---

Version b
## GaB2Sb2 (SCAN)

Data for a PBEsol-optimized structure of GaB2Sb2.

Computed properties:
Its volume is 179.5 Å³ per cell.

```
data_GaB2Sb2
_chemical_formula_sum 'Ga2 B4 Sb4'
_cell_length_a 6.985
_cell_length_b 6.985
_cell_length_c 3.679
_cell_angle_alpha 90.00
_cell_angle_beta 90.00
_cell_angle_gamma 90.00
_space_group_name_H-M_alt 'P 4/m b m'
_space_group_IT_number 127
_space_group_name_Hall '-P 4 2ab'
loop_
_atom_site_label
_atom_site_fract_x
_atom_site_fract_y
_atom_site_fract_z
_atom_site_occupancy
Ga1 0.000 0.000 0.000 1
B1 0.082 0.418 0.000 1
Sb1 0.219 0.281 0.500 1
```

---

Which structure is the least stable? The one labeled version a.

---

Version a
## B3H5 (SCAN)

Data for a PBEsol-optimized structure of B3H5.

Computed properties:
Its volume is 543.3 Å³ per cell.

```
data_B3H5
_chemical_formula_sum 'B24 H40'
_cell_length_a 7.423
_cell_length_b 8.842
_cell_length_c 8.279
_cell_angle_alpha 90.00
_cell_angle_beta 90.00
_cell_angle_gamma 90.00
_space_group_name_H-M_alt 'C m c 21'
_space_group_IT_number 36
_space_group_name_Hall 'C 2c -2'
loop_
_atom_site_label
_atom_site_fract_x
_atom_site_fract_y
_atom_site_fract_z
_atom_site_occupancy
B1 0.000 0.194 0.000 1
B2 0.000 0.253 0.799 1
B3 0.111 0.432 0.795 1
B4 0.189 0.291 0.919 1
H1 0.000 0.068 0.053 1
H2 0.000 0.164 0.690 1
H3 0.128 0.270 0.074 1
H4 0.161 0.260 0.423 1
H5 0.180 0.441 0.943 1
H6 0.219 0.480 0.700 1
```

---

Version b
## B3H5 (SCAN)

Data for a PBEsol-optimized structure of B3H5.

Computed properties:
Its volume is 768.9 Å³ per cell.

```
data_B3H5
_chemical_formula_sum 'B36 H60'
_cell_length_a 10.726
_cell_length_b 6.759
_cell_length_c 12.740
_cell_angle_alpha 90.00
_cell_angle_beta 123.65
_cell_angle_gamma 90.00
_space_group_name_H-M_alt 'P 1 21/c 1'
_space_group_IT_number 14
_space_group_name_Hall '-P 2ybc'
loop_
_atom_site_label
_atom_site_fract_x
_atom_site_fract_y
_atom_site_fract_z
_atom_site_occupancy
B1 0.020 0.241 0.133 1
B2 0.122 0.549 0.445 1
B3 0.122 0.701 0.333 1
B4 0.289 0.620 0.466 1
B5 0.295 0.617 0.605 1
B6 0.296 0.637 0.924 1
B7 0.326 0.016 0.549 1
B8 0.326 0.634 0.161 1
B9 0.411 0.714 0.086 1
H1 0.017 0.112 0.576 1
H2 0.042 0.645 0.815 1
H3 0.044 0.637 0.479 1
H4 0.086 0.122 0.924 1
H5 0.087 0.637 0.232 1
H6 0.143 0.182 0.213 1
H7 0.218 0.014 0.426 1
H8 0.218 0.736 0.632 1
H9 0.229 0.009 0.585 1
H10 0.346 0.010 0.183 1
H11 0.347 0.011 0.943 1
H12 0.348 0.581 0.867 1
H13 0.379 0.582 0.267 1
H14 0.380 0.178 0.574 1
H15 0.456 0.233 0.359 1
```

---

Which structure is the least stable? The one labeled version a.

---

Version a
## BH3I (SCAN)

Data for a PBEsol-optimized structure of BH3I.

Computed properties:
Its volume is 44.6 Å³ per cell.

```
data_BH3I
_chemical_formula_sum 'B1 H3 I1'
_cell_length_a 3.546
_cell_length_b 3.546
_cell_length_c 3.546
_cell_angle_alpha 90.00
_cell_angle_beta 90.00
_cell_angle_gamma 90.00
_space_group_name_H-M_alt 'P m -3 m'
_space_group_IT_number 221
_space_group_name_Hall '-P 4 2 3'
loop_
_atom_site_label
_atom_site_fract_x
_atom_site_fract_y
_atom_site_fract_z
_atom_site_occupancy
B1 0.000 0.000 0.000 1
H1 0.000 0.000 0.500 1
I1 0.500 0.500 0.500 1
```

---

Version b
## BH3I (SCAN)

Data for a PBEsol-optimized structure of BH3I.

Computed properties:
Its volume is 63.6 Å³ per cell.

```
data_BH3I
_chemical_formula_sum 'B1 H3 I1'
_cell_length_a 3.992
_cell_length_b 3.992
_cell_length_c 3.992
_cell_angle_alpha 90.00
_cell_angle_beta 90.00
_cell_angle_gamma 90.00
_space_group_name_H-M_alt 'P m -3 m'
_space_group_IT_number 221
_space_group_name_Hall '-P 4 2 3'
loop_
_atom_site_label
_atom_site_fract_x
_atom_site_fract_y
_atom_site_fract_z
_atom_site_occupancy
B1 0.000 0.000 0.000 1
H1 0.000 0.500 0.500 1
I1 0.500 0.500 0.500 1
```

---

Which structure is the least stable? The one labeled version b.

---

Version a
## LiBH4 (SCAN)

Data for a PBEsol-optimized structure of LiBH4.

Computed properties:
Its volume is 178.6 Å³ per cell.

```
data_LiBH4
_chemical_formula_sum 'Li4 B4 H16'
_cell_length_a 5.632
_cell_length_b 5.632
_cell_length_c 5.632
_cell_angle_alpha 90.00
_cell_angle_beta 90.00
_cell_angle_gamma 90.00
_space_group_name_H-M_alt 'F -4 3 m'
_space_group_IT_number 216
_space_group_name_Hall 'F -4 2 3'
loop_
_atom_site_label
_atom_site_fract_x
_atom_site_fract_y
_atom_site_fract_z
_atom_site_occupancy
Li1 0.000 0.000 0.000 1
B1 0.000 0.000 0.500 1
H1 0.125 0.125 0.625 1
```

---

Version b
## LiBH4 (SCAN)

Data for a PBEsol-optimized structure of LiBH4.

Computed properties:
Its volume is 98.2 Å³ per cell.

```
data_LiBH4
_chemical_formula_sum 'Li2 B2 H8'
_cell_length_a 4.600
_cell_length_b 4.327
_cell_length_c 4.950
_cell_angle_alpha 90.00
_cell_angle_beta 94.54
_cell_angle_gamma 90.00
_space_group_name_H-M_alt 'P 1 21/m 1'
_space_group_IT_number 11
_space_group_name_Hall '-P 2yb'
loop_
_atom_site_label
_atom_site_fract_x
_atom_site_fract_y
_atom_site_fract_z
_atom_site_occupancy
Li1 0.239 0.250 0.065 1
B1 0.250 0.750 0.806 1
H1 0.097 0.520 0.756 1
H2 0.342 0.750 0.048 1
H3 0.445 0.750 0.652 1
```

---

Which structure is the least stable? The one labeled version a.